Computed, not measured: a relaxed structure of LaTm2In at the PBE-GGA level of DFT.

The energy relative to the elements comes out at -23.1 kJ/mol of atoms. For the relative energy among the computed polymorphs, the calculation gives 3 meV/atom. As for the space-group type: No. 62.

abc: 5.361 6.754 13.310
angles: 90.00 90.00 90.00
Atoms (fractional coordinates):
La  0.250  0.413  0.633
La  0.250  0.087  0.133
La  0.750  0.587  0.367
La  0.750  0.913  0.867
Tm  0.250  0.900  0.701
Tm  0.250  0.600  0.201
Tm  0.750  0.100  0.299
Tm  0.750  0.400  0.799
Tm  0.250  0.871  0.446
Tm  0.250  0.629  0.946
Tm  0.750  0.129  0.554
Tm  0.750  0.371  0.054
In  0.250  0.313  0.390
In  0.250  0.187  0.890
In  0.750  0.687  0.610
In  0.750  0.813  0.110